No. 1
## KTaZn2 (GGA-PBE)

Data for KTaZn2 after structural relaxation.

The density of states at the Fermi level is 4.04 states/eV/f.u. Its space-group type is R3m, No. 160. Its energy above the most stable polymorph in this dataset is 125 meV/atom. Its final energy is -3.2945 eV per atom. For the size of the total moment, the calculation gives 0.000 μB per formula unit. The calculation puts the formation energy at 2.3 eV per formula unit.

Lattice parameters (Å, degrees): 10.8029 10.8029 10.8029 15.89 15.89 15.89
Closest atoms and distances in Å follow each position.
Fractional positions:
K 0.0000 0.0000 0.0000  6 K 2.99
Ta 0.2318 0.2318 0.2318  3 Zn 2.82, 6 Ta 2.99
Zn 0.4953 0.4953 0.4953  9 Zn 2.79-2.99, 3 Ta 2.82
Zn 0.7600 0.7600 0.7600  9 Zn 2.79-2.99



No. 2
## Nd2Ga3Cu4Si (GGA-PBE)

Data for Nd2Ga3Cu4Si after structural relaxation.

The density of states at the Fermi level is 5.92 states/eV/f.u. Its space-group type is P-4m2, No. 115. Its final energy is -4.4879 eV per atom. For the size of the total moment, the calculation gives 0.000 μB per formula unit.

Lattice parameters (Å, degrees): 4.2221 4.2221 9.9435 90.00 90.00 90.00
Closest atoms and distances in Å follow each position.
Fractional positions:
Nd 0.0000 0.5000 0.2485  6 Ga 3.22-3.25, 8 Cu 3.23-3.27, 2 Si 3.25
Nd 0.5000 0.0000 0.7515  6 Ga 3.22-3.25, 8 Cu 3.23-3.27, 2 Si 3.25
Ga 0.0000 0.0000 0.0000  4 Cu 2.44
Ga 0.0000 0.5000 0.6299  5 Cu 2.45-2.47
Ga 0.5000 0.0000 0.3701  5 Cu 2.45-2.47
Cu 0.0000 0.0000 0.5000  4 Ga 2.47
Cu 0.0000 0.5000 0.8760  2 Si 2.44, 3 Ga 2.44-2.45
Cu 0.5000 0.0000 0.1240  2 Si 2.44, 3 Ga 2.44-2.45
Cu 0.5000 0.5000 0.5000  4 Ga 2.47
Si 0.5000 0.5000 0.0000  4 Cu 2.44



No. 3
## Tb2Sm5Tm12 (GGA-PBE)

Data for Tb2Sm5Tm12 after structural relaxation.

The density of states at the Fermi level is 24.51 states/eV/f.u. Its space-group type is C2/m, No. 12. Its energy above the most stable polymorph in this dataset is 100 meV/atom. Its final energy is -4.4307 eV per atom. For the size of the total moment, the calculation gives 0.000 μB per formula unit. The calculation puts the formation energy at 2.3 eV per formula unit.

Lattice parameters (Å, degrees): 8.9928 8.9928 8.5434 91.91 91.91 61.75
Closest atoms and distances in Å follow each position.
Fractional positions:
Tb 0.1746 0.8254 0.0000  1 Tb 3.22, 8 Tm 3.31-3.55, 2 Sm 3.57
Tb 0.8254 0.1746 0.0000  1 Tb 3.22, 8 Tm 3.31-3.55, 2 Sm 3.57
Sm 0.2068 0.2068 0.0174  8 Tm 3.46-3.66, 2 Tb 3.57, 1 Sm 3.60
Sm 0.2691 0.2691 0.4281  8 Tm 3.35-3.60, 2 Sm 3.59-3.60
Sm 0.5000 0.5000 0.5000  10 Tm 3.36-3.74, 2 Sm 3.59
Sm 0.7309 0.7309 0.5719  8 Tm 3.35-3.60, 2 Sm 3.59-3.60
Sm 0.7932 0.7932 0.9826  8 Tm 3.46-3.66, 2 Tb 3.57, 1 Sm 3.60
Tm 0.0562 0.0562 0.3338  2 Sm 3.35-3.63, 7 Tm 3.36-3.48, 2 Tb 3.36
Tm 0.0601 0.6809 0.3345  5 Tm 3.36-3.50, 4 Sm 3.38-3.74, 1 Tb 3.55
Tm 0.1730 0.5303 0.7593  4 Tm 3.30-3.68, 1 Tb 3.31, 4 Sm 3.47-3.66
Tm 0.3191 0.9399 0.6655  5 Tm 3.36-3.50, 4 Sm 3.38-3.74, 1 Tb 3.55
Tm 0.4254 0.4254 0.1256  3 Tm 3.21-3.50, 2 Sm 3.36-3.46, 2 Tb 3.41
Tm 0.4697 0.8270 0.2407  4 Tm 3.30-3.68, 1 Tb 3.31, 4 Sm 3.47-3.66
Tm 0.5303 0.1730 0.7593  4 Tm 3.30-3.68, 1 Tb 3.31, 4 Sm 3.47-3.66
Tm 0.5746 0.5746 0.8744  3 Tm 3.21-3.50, 2 Sm 3.36-3.46, 2 Tb 3.41
Tm 0.6809 0.0601 0.3345  5 Tm 3.36-3.50, 4 Sm 3.38-3.74, 1 Tb 3.55
Tm 0.8270 0.4697 0.2407  4 Tm 3.30-3.68, 1 Tb 3.31, 4 Sm 3.47-3.66
Tm 0.9399 0.3191 0.6655  5 Tm 3.36-3.50, 4 Sm 3.38-3.74, 1 Tb 3.55
Tm 0.9438 0.9438 0.6662  2 Sm 3.35-3.63, 7 Tm 3.36-3.48, 2 Tb 3.36



No. 4
## VGaHg3 (GGA-PBE)

Data for VGaHg3 after structural relaxation.

The density of states at the Fermi level is 7.81 states/eV/f.u. Its space-group type is Pm-3m, No. 221. Its energy above the most stable polymorph in this dataset is 172 meV/atom. Its final energy is -1.8529 eV per atom. For the size of the total moment, the calculation gives 3.844 μB per formula unit. The calculation puts the formation energy at 3.8 eV per formula unit.

Lattice parameters (Å, degrees): 5.1613 5.1613 5.1613 90.00 90.00 90.00
Closest atoms and distances in Å follow each position.
Fractional positions:
V 0.0000 0.0000 0.0000  12 Hg 3.65
Ga 0.5000 0.5000 0.5000  6 Hg 2.58
Hg 0.0000 0.5000 0.5000  2 Ga 2.58
Hg 0.5000 0.0000 0.5000  2 Ga 2.58
Hg 0.5000 0.5000 0.0000  2 Ga 2.58



No. 5
## Dy5YAl6 (GGA-PBE)

Data for Dy5YAl6 after structural relaxation.

The density of states at the Fermi level is 4.42 states/eV/f.u. Its space-group type is Cmmm, No. 65. Its final energy is -4.7289 eV per atom. For the size of the total moment, the calculation gives 0.000 μB per formula unit. The calculation puts the formation energy at -4.8 eV per formula unit.

Lattice parameters (Å, degrees): 8.0443 8.0443 7.2132 90.00 90.00 143.16
Closest atoms and distances in Å follow each position.
Fractional positions:
Dy 0.0000 0.0000 0.0000  8 Al 3.12
Dy 0.3333 0.6667 0.0000  8 Al 3.12
Dy 0.3333 0.6667 0.5000  8 Al 3.12
Dy 0.6667 0.3333 0.0000  8 Al 3.12
Dy 0.6667 0.3333 0.5000  8 Al 3.12
Y 0.0000 0.0000 0.5000  8 Al 3.12
Al 0.1667 0.8333 0.2497  7 Dy 3.12, 1 Y 3.12
Al 0.1667 0.8333 0.7503  7 Dy 3.12, 1 Y 3.12
Al 0.5000 0.5000 0.2498  6 Dy 3.12, 2 Y 3.12
Al 0.5000 0.5000 0.7502  6 Dy 3.12, 2 Y 3.12
Al 0.8333 0.1667 0.2497  7 Dy 3.12, 1 Y 3.12
Al 0.8333 0.1667 0.7503  7 Dy 3.12, 1 Y 3.12



No. 6
## La3Tb6DyTh2 (GGA-PBE)

Data for La3Tb6DyTh2 after structural relaxation.

The density of states at the Fermi level is 16.19 states/eV/f.u. Its space-group type is C2/m, No. 12. Its final energy is -5.1472 eV per atom. For the size of the total moment, the calculation gives 0.000 μB per formula unit. The calculation puts the formation energy at 0.2 eV per formula unit.

Lattice parameters (Å, degrees): 6.2515 6.2515 11.8929 95.03 95.03 119.99
Closest atoms and distances in Å follow each position.
Fractional positions:
La 0.0000 0.0000 0.0000  6 La 3.61, 6 Tb 3.65-3.67
La 0.3338 0.6662 0.0000  6 La 3.60-3.61, 6 Tb 3.65-3.67
La 0.6662 0.3338 0.0000  6 La 3.60-3.61, 6 Tb 3.65-3.67
Tb 0.0820 0.4191 0.2569  2 Th 3.52, 1 Dy 3.54, 6 Tb 3.59-3.65, 3 La 3.65-3.67
Tb 0.2439 0.2439 0.7432  2 Th 3.52, 1 Dy 3.54, 6 Tb 3.59-3.65, 3 La 3.65-3.66
Tb 0.4191 0.0820 0.2569  2 Th 3.52, 1 Dy 3.54, 6 Tb 3.59-3.65, 3 La 3.65-3.67
Tb 0.5809 0.9180 0.7431  2 Th 3.52, 1 Dy 3.54, 6 Tb 3.59-3.65, 3 La 3.65-3.67
Tb 0.7561 0.7561 0.2568  2 Th 3.52, 1 Dy 3.54, 6 Tb 3.59-3.65, 3 La 3.65-3.66
Tb 0.9180 0.5809 0.7431  2 Th 3.52, 1 Dy 3.54, 6 Tb 3.59-3.65, 3 La 3.65-3.67
Dy 0.5000 0.5000 0.5000  6 Tb 3.54, 6 Th 3.61
Th 0.1666 0.8334 0.5000  6 Tb 3.52, 3 Th 3.61, 3 Dy 3.61
Th 0.8334 0.1666 0.5000  6 Tb 3.52, 3 Th 3.61, 3 Dy 3.61